A geometry-optimized Sc2AgMoC structure, computed with PBE.

Computed properties:
For the calculated volume, the calculation gives 16.97 Å³/atom.

```
data_Sc2AgMoC
_symmetry_space_group_name_H-M 'P 4/m m m'
_symmetry_Int_Tables_number 123
_symmetry_space_group_name_Hall '-P 4 2'
_cell_length_a 4.532
_cell_length_b 4.532
_cell_length_c 4.130
_cell_angle_alpha 90.00
_cell_angle_beta 90.00
_cell_angle_gamma 90.00
loop_
_atom_site_label
_atom_site_type_symbol
_atom_site_fract_x
_atom_site_fract_y
_atom_site_fract_z
Sc1 Sc 0.000 0.500 0.000
Ag1 Ag 0.000 0.000 0.500
Mo1 Mo 0.500 0.500 0.500
C1 C 0.500 0.500 0.000
```

***

A geometry-optimized Nb3PdRu structure, computed with PBE.

Computed properties:
As for the distance to the lowest polymorph of the same formula: 0.00 kcal/mol of atoms. For the calculated volume, the calculation gives 21.56 Å³/atom.

```
data_Nb3PdRu
_symmetry_space_group_name_H-M 'P m -3 m'
_symmetry_Int_Tables_number 221
_symmetry_space_group_name_Hall '-P 4 2 3'
_cell_length_a 4.759
_cell_length_b 4.759
_cell_length_c 4.759
_cell_angle_alpha 90.00
_cell_angle_beta 90.00
_cell_angle_gamma 90.00
loop_
_atom_site_label
_atom_site_type_symbol
_atom_site_fract_x
_atom_site_fract_y
_atom_site_fract_z
Nb1 Nb 0.000 0.000 0.500
Pd1 Pd 0.500 0.500 0.500
Ru1 Ru 0.000 0.000 0.000
```

***

A geometry-optimized CsB2Pb structure, computed with PBE.

Computed properties:
For the calculated volume, the calculation gives 27.54 Å³/atom.

```
data_CsB2Pb
_symmetry_space_group_name_H-M 'I 41/a m d'
_symmetry_Int_Tables_number 141
_cell_length_a 5.271
_cell_length_b 5.271
_cell_length_c 15.859
_cell_angle_alpha 90.00
_cell_angle_beta 90.00
_cell_angle_gamma 90.00
loop_
_symmetry_equiv_pos_as_xyz
'x,y,z'
'-x,-y,-z'
'-y+1/4,x+3/4,z+1/4'
'y+1/4,-x+3/4,-z+1/4'
'-x+1/2,-y,z+1/2'
'x+1/2,y,-z+1/2'
'y+1/4,-x+1/4,z+3/4'
'-y+1/4,x+1/4,-z+3/4'
'x,-y,-z'
'-x,y,z'
'-y+1/4,-x+1/4,-z+3/4'
'y+1/4,x+1/4,z+3/4'
'-x+1/2,y,-z+1/2'
'x+1/2,-y,z+1/2'
'y+1/4,x+3/4,-z+1/4'
'-y+1/4,-x+3/4,z+1/4'
'x+1/2,y+1/2,z+1/2'
'-x+1/2,-y+1/2,-z+1/2'
'-y+3/4,x+1/4,z+3/4'
'y+3/4,-x+1/4,-z+3/4'
'-x,-y+1/2,z'
'x,y+1/2,-z'
'y+3/4,-x+3/4,z+1/4'
'-y+3/4,x+3/4,-z+1/4'
'x+1/2,-y+1/2,-z+1/2'
'-x+1/2,y+1/2,z+1/2'
'-y+3/4,-x+3/4,-z+1/4'
'y+3/4,x+3/4,z+1/4'
'-x,y+1/2,-z'
'x,-y+1/2,z'
'y+3/4,x+1/4,-z+3/4'
'-y+3/4,-x+1/4,z+3/4'
loop_
_atom_site_label
_atom_site_type_symbol
_atom_site_fract_x
_atom_site_fract_y
_atom_site_fract_z
Cs1 Cs 0.000 0.250 0.375
B1 B 0.000 0.000 0.000
Pb1 Pb 0.000 0.250 0.875
```

***

A geometry-optimized Pm13Y3 structure, computed with PBE.

Computed properties:
For the calculated volume, the calculation gives 34.36 Å³/atom.

```
data_Pm13Y3
_symmetry_space_group_name_H-M 'A m m 2'
_symmetry_Int_Tables_number 38
_cell_length_a 7.367
_cell_length_b 11.702
_cell_length_c 12.754
_cell_angle_alpha 90.00
_cell_angle_beta 90.00
_cell_angle_gamma 90.00
loop_
_symmetry_equiv_pos_as_xyz
'x,y,z'
'-x,-y,z'
'-x,y,z'
'x,-y,z'
'x,y+1/2,z+1/2'
'-x,-y+1/2,z+1/2'
'-x,y+1/2,z+1/2'
'x,-y+1/2,z+1/2'
loop_
_atom_site_label
_atom_site_type_symbol
_atom_site_fract_x
_atom_site_fract_y
_atom_site_fract_z
Pm1 Pm 0.000 0.000 0.000
Pm2 Pm 0.000 0.000 0.499
Pm3 Pm 0.000 0.249 0.166
Pm4 Pm 0.250 0.000 0.749
Pm5 Pm 0.251 0.248 0.416
Pm6 Pm 0.500 0.000 0.000
Pm7 Pm 0.500 0.249 0.166
Y1 Y 0.250 0.000 0.250
Y2 Y 0.500 0.000 0.498
```

***

| no. | calculated formation energy (eV per atom) | raw total energy (eV/f.u.) | N(E_F) (states/eV per cell) |
| --- | --- | --- | --- |
| 1 | -0.1940 | -36.539 | 5.2 |
| 2 | 0.9732 | -39.812 | 5.6 |
| 3 | 1.4446 | -12.139 | 7.9 |
| 4 | 0.0270 | -80.718 | 56.7 |